{"formula": "Er2OsO6", "functional": "GGA-PBE", "state": "optimized geometry", "raw_formation_energy_ev_per_atom": -2.41, "de_polymorph_ev_per_atom": 0.000, "magnetic_moment_mub_per_cell": 4.01, "volume_a3_per_atom": 13.31, "space_group": "No. 14", "lattice": [[-3.766, -3.510, -1.719], [4.080, -3.361, -2.075], [1.111, -3.056, 7.135]], "species": ["Er", "Er", "Er", "Er", "Os", "Os", "O", "O", "O", "O", "O", "O", "O", "O", "O", "O", "O", "O"], "frac_coords": [[0.955, 0.413, 0.769], [0.545, 0.913, 0.731], [0.455, 0.087, 0.269], [0.045, 0.587, 0.231], [0.500, 0.500, 0.000], [0.000, 0.000, 0.500], [0.830, 0.916, 0.279], [0.855, 0.729, 0.599], [0.795, 0.677, 0.945], [0.705, 0.177, 0.555], [0.645, 0.229, 0.901], [0.670, 0.416, 0.221], [0.170, 0.084, 0.721], [0.145, 0.271, 0.401], [0.205, 0.323, 0.055], [0.295, 0.823, 0.445], [0.355, 0.771, 0.099], [0.330, 0.584, 0.779]]}

---

{"formula": "DyY2Cd", "functional": "GGA-PBE", "state": "optimized geometry", "de_polymorph_ev_per_atom": 0.000, "magnetic_moment_mub_per_cell": 0.00, "e_form_ev_per_fu": -0.6, "volume_a3_per_atom": 29.33, "space_group": "No. 123", "lattice": [[-3.156, -0.068, 1.732], [-1.686, -0.714, -3.100], [1.009, -8.869, 1.493]], "species": ["Y", "Y", "Cd", "Dy"], "frac_coords": [[0.000, 0.000, 0.774], [0.000, 0.000, 0.226], [0.500, 0.500, 0.000], [0.500, 0.500, 0.500]]}

---

{"formula": "BaZrIn", "functional": "GGA-PBE", "state": "optimized geometry", "de_polymorph_ev_per_atom": 0.131, "magnetic_moment_mub_per_cell": 0.00, "e_form_ev_per_fu": 0.7, "volume_a3_per_atom": 31.46, "space_group": "No. 156", "lattice": [[-2.713, -4.476, -1.378], [4.110, 1.726, -3.069], [2.363, -2.052, 2.011]], "species": ["Ba", "In", "Zr"], "frac_coords": [[0.000, 0.000, 0.000], [0.667, 0.333, 0.502], [0.333, 0.667, 0.498]]}

---

{"formula": "Tb2Sm2Y", "functional": "GGA-PBE", "state": "optimized geometry", "de_polymorph_ev_per_atom": 0.000, "magnetic_moment_mub_per_cell": 0.00, "e_form_ev_per_fu": 0.6, "volume_a3_per_atom": 32.97, "space_group": "No. 15", "lattice": [[1.324, -1.587, -5.940], [5.287, -2.182, 2.616], [-7.243, -5.545, 2.256]], "species": ["Tb", "Tb", "Tb", "Tb", "Sm", "Sm", "Sm", "Sm", "Y", "Y"], "frac_coords": [[0.887, 0.251, 0.031], [0.221, 0.356, 0.469], [0.113, 0.749, 0.969], [0.779, 0.644, 0.531], [0.441, 0.367, 0.151], [0.216, 0.790, 0.349], [0.559, 0.633, 0.849], [0.784, 0.210, 0.651], [0.704, 0.954, 0.250], [0.296, 0.046, 0.750]]}

---

{"formula": "La2GaF", "functional": "GGA-PBE", "state": "optimized geometry", "raw_formation_energy_ev_per_atom": -1.28, "de_polymorph_ev_per_atom": 0.182, "magnetic_moment_mub_per_cell": 0.00, "volume_a3_per_atom": 29.92, "space_group": "No. 122", "lattice": [[5.826, 0.000, 0.000], [0.000, 5.826, 0.000], [2.913, 2.913, 7.053]], "species": ["F", "F", "Ga", "Ga", "La", "La", "La", "La"], "frac_coords": [[0.500, 0.500, 0.000], [0.250, 0.750, 0.500], [0.000, 0.000, 0.000], [0.750, 0.250, 0.500], [0.569, 0.125, 0.250], [0.181, 0.625, 0.250], [0.375, 0.431, 0.750], [0.875, 0.819, 0.750]]}

---

{"formula": "ZnCu3Si", "functional": "GGA-PBE", "state": "optimized geometry", "raw_formation_energy_ev_per_atom": 0.85, "de_polymorph_ev_per_atom": 0.861, "magnetic_moment_mub_per_cell": 0.00, "volume_a3_per_atom": 17.42, "space_group": "No. 221", "lattice": [[4.432, 0.000, 0.000], [0.000, 4.432, 0.000], [0.000, 0.000, 4.432]], "species": ["Zn", "Si", "Cu", "Cu", "Cu"], "frac_coords": [[0.000, 0.000, 0.000], [0.500, 0.500, 0.500], [0.000, 0.500, 0.000], [0.000, 0.000, 0.500], [0.500, 0.000, 0.000]]}

---

{"formula": "KAlF2", "functional": "GGA-PBE", "state": "optimized geometry", "raw_formation_energy_ev_per_atom": -1.89, "de_polymorph_ev_per_atom": 0.330, "magnetic_moment_mub_per_cell": 0.00, "volume_a3_per_atom": 23.14, "space_group": "No. 122", "lattice": [[0.452, -7.013, 1.707], [-0.505, -1.435, 7.070], [-3.842, 3.891, -4.733]], "species": ["K", "K", "Al", "Al", "F", "F", "F", "F"], "frac_coords": [[0.750, 0.250, 0.500], [0.000, 0.000, 0.000], [0.250, 0.750, 0.500], [0.500, 0.500, 0.000], [0.571, 0.125, 0.946], [0.179, 0.625, 0.054], [0.875, 0.821, 0.446], [0.375, 0.429, 0.554]]}

---

{"formula": "ZrAg2W", "functional": "GGA-PBE", "state": "optimized geometry", "magnetic_moment_mub_per_cell": 0.00, "e_form_ev_per_fu": 1.8, "volume_a3_per_atom": 18.02, "space_group": "No. 123", "lattice": [[2.823, 0.000, 0.000], [0.000, 2.823, 0.000], [0.000, 0.000, 9.042]], "species": ["Ag", "Ag", "W", "Zr"], "frac_coords": [[0.000, 0.000, 0.011], [0.000, 0.000, 0.489], [0.500, 0.500, 0.250], [0.500, 0.500, 0.750]]}

---

{"formula": "RbZrTl", "functional": "GGA-PBE", "state": "optimized geometry", "de_polymorph_ev_per_atom": 0.266, "magnetic_moment_mub_per_cell": 0.00, "e_form_ev_per_fu": 1.0, "volume_a3_per_atom": 35.90, "space_group": "No. 8", "lattice": [[17.122, 0.000, -0.003], [5.558, 1.667, -3.773], [-5.558, 1.667, 3.773]], "species": ["Tl", "Tl", "Rb", "Rb", "Zr", "Zr"], "frac_coords": [[0.760, 0.984, 0.016], [0.056, 0.815, 0.185], [0.401, 0.864, 0.136], [0.706, 0.782, 0.218], [0.191, 0.337, 0.663], [0.022, 0.149, 0.851]]}

---

{"formula": "FeHg4Pb", "functional": "GGA-PBE", "state": "optimized geometry", "magnetic_moment_mub_per_cell": 3.13, "e_form_ev_per_fu": 3.3, "volume_a3_per_atom": 24.77, "space_group": "No. 216", "lattice": [[0.000, 4.204, 4.204], [4.204, 0.000, 4.204], [4.204, 4.204, 0.000]], "species": ["Fe", "Hg", "Hg", "Hg", "Hg", "Pb"], "frac_coords": [[0.000, 0.000, 0.000], [0.876, 0.375, 0.375], [0.375, 0.375, 0.876], [0.375, 0.876, 0.375], [0.375, 0.375, 0.375], [0.750, 0.750, 0.750]]}

---

{"formula": "KMgP2", "functional": "GGA-PBE", "state": "optimized geometry", "magnetic_moment_mub_per_cell": 0.00, "e_form_ev_per_fu": 0.1, "volume_a3_per_atom": 21.32, "space_group": "No. 166", "lattice": [[9.132, 0.002, 0.001], [8.527, 3.267, 0.001], [8.527, 1.578, 2.861]], "species": ["K", "Mg", "P", "P"], "frac_coords": [[0.250, 0.250, 0.250], [0.750, 0.750, 0.750], [0.013, 0.013, 0.013], [0.487, 0.487, 0.487]]}

---

{"formula": "PmDy2Pu", "functional": "GGA-PBE", "state": "optimized geometry", "de_polymorph_ev_per_atom": 0.111, "magnetic_moment_mub_per_cell": 6.74, "e_form_ev_per_fu": 0.9, "volume_a3_per_atom": 31.48, "space_group": "No. 225", "lattice": [[-5.401, -0.074, -1.572], [-2.044, -4.408, -2.835], [-3.608, -3.522, 2.496]], "species": ["Dy", "Dy", "Pm", "Pu"], "frac_coords": [[0.250, 0.250, 0.250], [0.750, 0.750, 0.750], [0.000, 0.000, 0.000], [0.500, 0.500, 0.500]]}